w) Here is crystalline MoH8N2O4 at its relaxed geometry from Alexandria via LeMat-Bulk. Energies are from GGA+U.

a = 12.079 Å, b = 7.230 Å, c = 7.906 Å
α = 90.00°, β = 115.90°, γ = 90.00°
Space group C2/m (No. 12)
Asymmetric unit:
Mo 0.211 0.000 0.252 [4 per cell]
H 0.029 0.500 0.685 [4 per cell]
H 0.058 0.000 0.727 [4 per cell]
H 0.111 0.387 0.885 [8 per cell]
H 0.131 0.000 0.586 [4 per cell]
H 0.168 0.500 0.395 [4 per cell]
H 0.196 0.116 0.795 [8 per cell]
N 0.110 0.500 0.805 [4 per cell]
N 0.145 0.000 0.727 [4 per cell]
O 0.106 0.000 0.358 [4 per cell]
O 0.144 0.500 0.497 [4 per cell]
O 0.175 0.204 0.114 [8 per cell]

## Properties
Magnetization: 0.0 μB per formula unit


x) Here is crystalline MoH8N2O4 at its relaxed geometry from Alexandria via LeMat-Bulk. Energies are from GGA+U.

a = 12.826 Å, b = 6.790 Å, c = 7.848 Å
α = 90.00°, β = 119.27°, γ = 90.00°
Space group C2/m (No. 12)
Asymmetric unit:
Mo 0.170 0.000 0.227 [4 per cell]
H 0.052 0.376 0.868 [8 per cell]
H 0.057 0.500 0.336 [4 per cell]
H 0.085 0.500 0.712 [4 per cell]
H 0.093 0.000 0.752 [4 per cell]
H 0.138 0.000 0.582 [4 per cell]
H 0.223 0.122 0.799 [8 per cell]
N 0.031 0.500 0.778 [4 per cell]
N 0.168 0.000 0.734 [4 per cell]
O 0.074 0.000 0.333 [4 per cell]
O 0.146 0.217 0.080 [8 per cell]
O 0.175 0.500 0.587 [4 per cell]

## Properties
Magnetization: 0.0 μB per formula unit


y) Here is crystalline MoH8N2O4 at its relaxed geometry from Alexandria via LeMat-Bulk. Energies are from GGA+U.

a = 6.394 Å, b = 7.769 Å, c = 12.313 Å
α = 90.00°, β = 113.16°, γ = 90.00°
Space group P2_1/c (No. 14)
Asymmetric unit:
Mo 0.090 0.136 0.314 [4 per cell]
H 0.210 0.739 0.481 [4 per cell]
H 0.223 0.591 0.588 [4 per cell]
H 0.244 0.524 0.462 [4 per cell]
H 0.290 0.226 0.656 [4 per cell]
H 0.332 0.078 0.562 [4 per cell]
H 0.352 0.016 0.696 [4 per cell]
H 0.445 0.654 0.815 [4 per cell]
H 0.459 0.643 0.562 [4 per cell]
N 0.282 0.625 0.524 [4 per cell]
N 0.385 0.118 0.650 [4 per cell]
O 0.166 0.094 0.190 [4 per cell]
O 0.178 0.539 0.918 [4 per cell]
O 0.211 0.669 0.231 [4 per cell]
O 0.246 0.176 0.890 [4 per cell]

## Properties
Magnetization: 0.0 μB per formula unit


It turns out x) is the most stable, with the second structure 6 meV/atom higher.